Here is a relaxed structure of BeAlI2O from the Alexandria database. Energies are from PBE-GGA.

extended XYZ file:
```
5
Lattice="6.576 0.000 0.000 0.000 6.576 0.000 0.000 0.000 2.962" Properties=species:S:1:pos:R:3 pbc="T T T"
O 0.000 0.000 1.481
Al 3.288 3.288 1.481
I 3.288 0.000 0.000
I 0.000 3.288 0.000
Be 0.000 0.000 0.000
```

Results
Total DFT energy (no corrections) = -3.7558 eV/atom
Symmetry = P4/mmm, No. 123
Offset from the most stable computed form = 0.0 meV/atom
DOS(E_F) = 0.82 states/eV per cell
ΔE_f (raw) = -0.650 eV/atom



Here is a relaxed structure of BeAlI2O from the Alexandria database. Energies are from PBE-GGA.

extended XYZ file:
```
5
Lattice="-1.509 -3.318 4.294 3.389 -4.058 -1.944 2.642 1.285 1.922" Properties=species:S:1:pos:R:3 pbc="T T T"
I 1.694 -2.029 -0.972
I -0.755 -1.659 2.147
Be 2.261 -3.045 2.136
O 1.321 0.643 0.961
Al 0.000 0.000 0.000
```

Results
Total DFT energy (no corrections) = -3.4359 eV/atom
Symmetry = P4/mmm, No. 123
Offset from the most stable computed form = 319.9 meV/atom
DOS(E_F) = 1.60 states/eV per cell
ΔE_f (raw) = -0.330 eV/atom



Here is a relaxed structure of BeAlSb2I from the Alexandria database. Energies are from PBE-GGA.

extended XYZ file:
```
5
Lattice="-2.252 -4.521 -1.724 3.515 -0.221 -4.011 3.412 -2.901 3.150" Properties=species:S:1:pos:R:3 pbc="T T T"
Al 0.000 0.000 0.000
Be 2.337 -3.822 -1.293
I 1.706 -1.450 1.575
Sb -1.126 -2.261 -0.862
Sb 1.757 -0.111 -2.005
```

Results
Total DFT energy (no corrections) = -2.5068 eV/atom
Symmetry = P4/mmm, No. 123
Offset from the most stable computed form = 422.2 meV/atom
DOS(E_F) = 5.63 states/eV per cell
ΔE_f (raw) = 0.946 eV/atom



Here is a relaxed structure of BeAlSbI2 from the Alexandria database. Energies are from PBE-GGA.

extended XYZ file:
```
5
Lattice="-3.151 -0.606 4.492 -2.330 -4.476 -2.238 3.859 -3.150 2.282" Properties=species:S:1:pos:R:3 pbc="T T T"
I -1.575 -0.303 2.246
I -1.165 -2.238 -1.119
Al 0.000 0.000 0.000
Be -0.811 -4.116 2.268
Sb 1.930 -1.575 1.141
```

Results
Total DFT energy (no corrections) = -2.2224 eV/atom
Symmetry = P4/mmm, No. 123
Offset from the most stable computed form = 325.1 meV/atom
DOS(E_F) = 3.56 states/eV per cell
ΔE_f (raw) = 0.716 eV/atom



- DOS(E_F) of number 1 (BeAlI2O)?
  0.82 states/eV per cell



- Which of these has the highest DOS(E_F)?
  BeAlSb2I